Entry 1:
Computed, not measured: a relaxed structure of Zr2SnF at the PBE level of DFT.

Computed properties:
Its formation energy from raw total energies is -0.56 eV per atom. The space-group type is I-42d (122). Its calculated density is 5.6 g/cm³. The size of the total moment is 0.000 Bohr magnetons per cell.

a b c (Å): 8.043 8.043 8.043
angles (deg): 142.82 142.82 53.60
Sites, in units of the cell vectors:
Zr  0.375  0.226  0.351
Zr  0.774  0.125  0.149
Zr  0.875  0.024  0.649
Zr  0.976  0.625  0.851
Sn  0.250  0.750  0.500
Sn  0.500  0.500  0.000
F  0.000  0.000  0.000
F  0.750  0.250  0.500

Entry 2:
Computed, not measured: a relaxed structure of ZrSnF2 at the PBE level of DFT.

Computed properties:
Its formation energy from raw total energies is -1.86 eV per atom. The space-group type is R-3m (166). Its calculated density is 6.0 g/cm³. The size of the total moment is 0.000 Bohr magnetons per cell.

a b c (Å): 8.967 8.967 8.967
angles (deg): 19.29 19.29 19.29
Sites, in units of the cell vectors:
Zr  0.000  0.000  0.000
Sn  0.500  0.500  0.500
F  0.391  0.391  0.391
F  0.609  0.609  0.609

Entry 3:
Computed, not measured: a relaxed structure of ZrSn3F at the PBE level of DFT.

Computed properties:
Its formation energy from raw total energies is 0.08 eV per atom. The space-group type is Pm-3m (221). Its calculated density is 4.5 g/cm³. The size of the total moment is 0.000 Bohr magnetons per cell.

a b c (Å): 5.579 5.579 5.579
angles (deg): 90.00 90.00 90.00
Sites, in units of the cell vectors:
Zr  0.000  0.000  0.000
Sn  0.000  0.000  0.500
Sn  0.000  0.500  0.000
Sn  0.500  0.000  0.000
F  0.500  0.500  0.500

Entry 4:
Computed, not measured: a relaxed structure of ZrSnF3 at the PBE level of DFT.

Computed properties:
Its formation energy from raw total energies is -1.13 eV per atom. The space-group type is Pm-3m (221). Its calculated density is 4.4 g/cm³. The size of the total moment is 3.000 Bohr magnetons per cell.

a b c (Å): 4.643 4.643 4.643
angles (deg): 90.00 90.00 90.00
Sites, in units of the cell vectors:
Zr  0.000  0.000  0.000
Sn  0.500  0.500  0.500
F  0.000  0.500  0.500
F  0.500  0.000  0.500
F  0.500  0.500  0.000

Entry 5:
Computed, not measured: a relaxed structure of ZrSnF3 at the PBE level of DFT.

Computed properties:
Its formation energy from raw total energies is -2.02 eV per atom. The space-group type is Pm-3m (221). Its calculated density is 5.1 g/cm³. The size of the total moment is 1.483 Bohr magnetons per cell.

a b c (Å): 4.421 4.421 4.421
angles (deg): 90.00 90.00 90.00
Sites, in units of the cell vectors:
Zr  0.000  0.000  0.000
Sn  0.500  0.500  0.500
F  0.000  0.000  0.500
F  0.000  0.500  0.000
F  0.500  0.000  0.000

Entry 6:
Computed, not measured: a relaxed structure of ZrSn2F at the PBE level of DFT.

Computed properties:
Its formation energy from raw total energies is -0.43 eV per atom. The space-group type is Fm-3m (225). Its calculated density is 6.6 g/cm³. The size of the total moment is 0.000 Bohr magnetons per cell.

a b c (Å): 4.973 4.973 4.973
angles (deg): 60.00 60.00 60.00
Sites, in units of the cell vectors:
Zr  0.000  0.000  0.000
Sn  0.250  0.250  0.250
Sn  0.750  0.750  0.750
F  0.500  0.500  0.500

Entry 7:
Computed, not measured: a relaxed structure of SrF at the PBE level of DFT.

Computed properties:
Its formation energy from raw total energies is -2.72 eV per atom. The space-group type is P4_2/mnm (136). Its calculated density is 3.3 g/cm³. The size of the total moment is 0.253 Bohr magnetons per cell.

a b c (Å): 7.124 7.124 4.201
angles (deg): 90.00 90.00 90.00
Sites, in units of the cell vectors:
Sr  0.203  0.203  0.000
Sr  0.297  0.703  0.500
Sr  0.703  0.297  0.500
Sr  0.797  0.797  0.000
F  0.148  0.852  0.000
F  0.352  0.352  0.500
F  0.648  0.648  0.500
F  0.852  0.148  0.000

Entry 8:
Computed, not measured: a relaxed structure of SrF2 at the PBE level of DFT.

Computed properties:
Its formation energy from raw total energies is -3.63 eV per atom. The space-group type is I4/mmm (139). Its calculated density is 4.8 g/cm³. The size of the total moment is 0.000 Bohr magnetons per cell.

a b c (Å): 4.430 4.430 4.430
angles (deg): 134.43 134.43 66.41
Sites, in units of the cell vectors:
Sr  0.000  0.000  0.000
F  0.340  0.340  0.000
F  0.660  0.660  0.000